Compound: Nd3YTm2Se6
Source: the Alexandria database
Functional: PBE-GGA
Structure: optimized geometry

CIF file:
```
data_Nd3YTm2Se6
_cell_length_a 7.084
_cell_length_b 7.084
_cell_length_c 7.317
_cell_angle_alpha 99.27
_cell_angle_beta 99.27
_cell_angle_gamma 120.23
_space_group_name_H-M_alt 'P 1'
_space_group_IT_number 1
loop_
_space_group_symop_operation_xyz
'x,y,z'
loop_
_atom_site_label
_atom_site_type_symbol
_atom_site_fract_x
_atom_site_fract_y
_atom_site_fract_z
Nd1 Nd 0.164 0.836 0.500
Nd2 Nd 0.836 0.164 0.500
Nd3 Nd 0.500 0.500 0.500
Y1 Y 0.000 0.000 0.000
Tm1 Tm 0.334 0.666 0.000
Tm2 Tm 0.666 0.334 0.000
Se1 Se 0.923 0.585 0.767
Se2 Se 0.739 0.739 0.230
Se3 Se 0.077 0.415 0.233
Se4 Se 0.585 0.923 0.767
Se5 Se 0.261 0.261 0.770
Se6 Se 0.415 0.077 0.233
```

Raw formation energy (meV per atom): -1777
Space group: No. 12
Calculated total energy (eV per cell): -71.94
Magnetic moment (μB/f.u.): 0.000